This record from Alexandria describes crystalline Ca2Nd6Dy3 at its relaxed geometry. The functional is PBE-GGA.

## Properties
SG = R-3m, No. 166
raw total energy = -4.193 eV/atom

Lattice parameters (Å, degrees): 33.302 33.302 33.302 6.30 6.30 6.30
Sites, in units of the cell vectors:
Ca: 0.047 0.047 0.047
Ca: 0.953 0.953 0.953
Nd: 0.137 0.137 0.137
Nd: 0.319 0.319 0.319
Nd: 0.413 0.413 0.413
Nd: 0.587 0.587 0.587
Nd: 0.681 0.681 0.681
Nd: 0.863 0.863 0.863
Dy: 0.225 0.225 0.225
Dy: 0.500 0.500 0.500
Dy: 0.775 0.775 0.775